No. 1
SrZrReMo2 after structural relaxation, computed with PBE.

Lattice parameters (Å, degrees): 4.9347 5.0177 4.9347 90.00 90.00 90.00
Site moments in Bohr magnetons follow the coordinates.
Sites, in units of the cell vectors:
1 Mo 0.5000 0.0000 0.0000  -0.11
2 Mo 0.0000 0.0000 0.5000  -0.02
3 Zr 0.0000 0.0000 0.0000  -0.02
4 Sr 0.5000 0.5000 0.5000  0.01
5 Re 0.0000 0.5000 0.0000  1.04

Calculated values
formation energy	1.74	eV/atom

No. 2
TaReMo2 after structural relaxation, computed with PBE.

Lattice parameters (Å, degrees): 3.1812 3.1812 6.3830 90.00 90.00 90.00
Sites, in units of the cell vectors:
1 Mo 0.5000 0.5000 0.2483
2 Mo 0.0000 0.0000 0.0062
3 Re 0.0000 0.0000 0.4965
4 Ta 0.5000 0.5000 0.7490

Calculated values
relative energy among the computed polymorphs	13	meV/atom
formation energy	-0.16	eV/atom

No. 3
Ta4Re5Mo after structural relaxation, computed with PBE.

Lattice parameters (Å, degrees): 3.1870 3.1870 15.9636 90.00 90.00 90.00
Sites, in units of the cell vectors:
1 Re 0.5000 0.5000 0.7013
2 Re 0.5000 0.5000 0.0982
3 Re 0.5000 0.5000 0.5000
4 Re 0.5000 0.5000 0.2987
5 Re 0.5000 0.5000 0.9018
6 Ta 0.0000 0.0000 0.1988
7 Ta 0.0000 0.0000 0.6004
8 Ta 0.0000 0.0000 0.8012
9 Ta 0.0000 0.0000 0.3996
10 Mo 0.0000 0.0000 0.0000

Calculated values
formation energy	-0.31	eV/atom

Question: Which of these has the highest formation energy?
Answer: SrZrReMo2

Question: Which value of formation energy does entry 1 give?
Answer: 1.74 eV/atom

Question: The highest formation energy belongs to which entry?
Answer: SrZrReMo2